No. 1
{"formula": "Tb2PrNi", "functional": "PBE", "state": "relaxed", "lattice_angstrom": [[-2.062, -1.663, -4.082], [-3.240, -1.859, 5.290], [-4.133, 6.089, -0.392]], "species": ["Tb", "Tb", "Tb", "Tb", "Pr", "Pr", "Ni", "Ni"], "fractional_positions": [[0.346, 0.691, 0.529], [0.654, 0.309, 0.471], [0.346, 0.691, 0.971], [0.654, 0.309, 0.029], [0.962, 0.924, 0.250], [0.038, 0.076, 0.750], [0.804, 0.609, 0.750], [0.196, 0.391, 0.250]], "formation_enthalpy_0k_ev_per_atom": -0.1846, "sg": "Cmcm, No. 63", "n_ef_per_ev_atom": 0.93, "e_tot_ev_per_cell": -41.12, "de_polymorph_mev_per_atom": 26}

No. 2
{"formula": "TbPrTlNi", "functional": "PBE", "state": "relaxed", "lattice_angstrom": [[5.236, 0.000, 0.000], [2.618, 4.535, 0.000], [2.618, 1.512, 4.275]], "species": ["Pr", "Ni", "Tl", "Tb"], "fractional_positions": [[0.000, 0.000, 0.000], [0.250, 0.250, 0.250], [0.750, 0.750, 0.750], [0.500, 0.500, 0.500]], "formation_enthalpy_0k_ev_per_atom": -0.1903, "sg": "F-43m, No. 216", "n_ef_per_ev_atom": 1.10, "e_tot_ev_per_cell": -18.32}

No. 3
{"formula": "TbPrZnNi", "functional": "PBE", "state": "relaxed", "lattice_angstrom": [[5.033, 0.000, 0.000], [2.517, 4.359, 0.000], [2.517, 1.453, 4.110]], "species": ["Pr", "Ni", "Zn", "Tb"], "fractional_positions": [[0.500, 0.500, 0.500], [0.250, 0.250, 0.250], [0.750, 0.750, 0.750], [0.000, 0.000, 0.000]], "formation_enthalpy_0k_ev_per_atom": -0.2636, "sg": "F-43m, No. 216", "n_ef_per_ev_atom": 0.84, "e_tot_ev_per_cell": -17.52}

No. 4
{"formula": "PrThTcNi", "functional": "PBE", "state": "relaxed", "lattice_angstrom": [[5.002, 0.000, 0.000], [2.501, 4.332, 0.000], [2.501, 1.444, 4.084]], "species": ["Pr", "Ni", "Tc", "Th"], "fractional_positions": [[0.500, 0.500, 0.500], [0.250, 0.250, 0.250], [0.750, 0.750, 0.750], [0.000, 0.000, 0.000]], "formation_enthalpy_0k_ev_per_atom": -0.0465, "sg": "F-43m, No. 216", "n_ef_per_ev_atom": 1.04, "e_tot_ev_per_cell": -28.53}

No. 5
{"formula": "Pr5Ni2Te", "functional": "PBE", "state": "relaxed", "lattice_angstrom": [[7.292, 0.000, -3.442], [-1.625, 7.109, -3.442], [-0.274, -0.344, 8.865]], "species": ["Pr", "Pr", "Pr", "Pr", "Pr", "Pr", "Pr", "Pr", "Pr", "Pr", "Ni", "Ni", "Ni", "Ni", "Te", "Te"], "fractional_positions": [[0.518, 0.708, 0.727], [0.792, 0.982, 0.273], [0.000, 0.000, 0.000], [0.500, 0.500, 0.000], [0.208, 0.018, 0.727], [0.708, 0.208, 0.727], [0.018, 0.518, 0.727], [0.292, 0.792, 0.273], [0.982, 0.482, 0.273], [0.482, 0.292, 0.273], [0.128, 0.372, 0.000], [0.628, 0.128, 0.000], [0.372, 0.872, 0.000], [0.872, 0.628, 0.000], [0.750, 0.750, 0.500], [0.250, 0.250, 0.500]], "formation_energy_uncorrected_ev_per_atom": -0.47, "sg": "I4/mcm, No. 140", "n_ef_per_ev_atom": 1.15, "e_tot_ev_per_cell": -84.76}

No. 6
{"formula": "Pr12Ni6Te", "functional": "PBE", "state": "relaxed", "lattice_angstrom": [[-5.116, 4.906, 5.259], [-2.108, 1.546, -8.430], [-1.243, -8.546, 1.824]], "species": ["Pr", "Pr", "Pr", "Pr", "Pr", "Pr", "Pr", "Pr", "Pr", "Pr", "Pr", "Pr", "Ni", "Ni", "Ni", "Ni", "Ni", "Ni", "Te"], "fractional_positions": [[0.310, 0.123, 0.813], [0.310, 0.497, 0.187], [0.690, 0.503, 0.813], [0.690, 0.877, 0.187], [0.123, 0.813, 0.310], [0.497, 0.187, 0.310], [0.503, 0.813, 0.690], [0.877, 0.187, 0.690], [0.813, 0.310, 0.123], [0.187, 0.310, 0.497], [0.813, 0.690, 0.503], [0.187, 0.690, 0.877], [0.379, 0.500, 0.879], [0.621, 0.500, 0.121], [0.500, 0.879, 0.379], [0.500, 0.121, 0.621], [0.879, 0.379, 0.500], [0.121, 0.621, 0.500], [0.000, 0.000, 0.000]], "formation_energy_uncorrected_ev_per_atom": -0.32, "sg": "Im-3, No. 204", "n_ef_per_ev_atom": 1.04, "e_tot_ev_per_cell": -101.21}

No. 7
{"formula": "PrNiTe", "functional": "PBE", "state": "relaxed", "lattice_angstrom": [[-2.880, -0.563, 3.001], [-2.631, -7.258, -3.887], [5.711, -4.549, 4.626]], "species": ["Ni", "Ni", "Ni", "Ni", "Pr", "Pr", "Pr", "Pr", "Te", "Te", "Te", "Te"], "fractional_positions": [[0.500, 0.804, 0.196], [0.500, 0.196, 0.804], [0.000, 0.196, 0.196], [0.000, 0.804, 0.804], [0.500, 0.782, 0.562], [0.000, 0.438, 0.782], [0.000, 0.562, 0.218], [0.500, 0.218, 0.438], [0.500, 0.301, 0.073], [0.000, 0.927, 0.301], [0.000, 0.073, 0.699], [0.500, 0.699, 0.927]], "formation_energy_uncorrected_ev_per_atom": -0.56, "sg": "P4_2/m, No. 84", "n_ef_per_ev_atom": 0.98, "e_tot_ev_per_cell": -61.52}

No. 8
{"formula": "Pr2NiTe", "functional": "PBE", "state": "relaxed", "lattice_angstrom": [[4.221, 0.000, 0.000], [2.110, 3.655, 0.000], [2.110, 1.218, 7.582]], "species": ["Pr", "Pr", "Ni", "Te"], "fractional_positions": [[0.069, 0.069, 0.792], [0.264, 0.264, 0.207], [0.666, 0.666, 0.001], [0.500, 0.500, 0.500]], "formation_energy_uncorrected_ev_per_atom": -0.77, "sg": "R3m, No. 160", "n_ef_per_ev_atom": 0.29, "e_tot_ev_per_cell": -21.55, "de_polymorph_mev_per_atom": 21}

No. 9
{"formula": "Pr2NiTe", "functional": "PBE", "state": "relaxed", "lattice_angstrom": [[4.198, 0.000, 0.000], [2.099, 3.636, 0.000], [2.099, 1.212, 7.597]], "species": ["Pr", "Pr", "Ni", "Te"], "fractional_positions": [[0.263, 0.263, 0.211], [0.737, 0.737, 0.789], [0.000, 0.000, 0.000], [0.500, 0.500, 0.500]], "formation_energy_uncorrected_ev_per_atom": -0.77, "sg": "R-3m, No. 166", "n_ef_per_ev_atom": 0.52, "e_tot_ev_per_cell": -21.58, "de_polymorph_mev_per_atom": 15}

No. 10
{"formula": "Pr3NiTe", "functional": "PBE", "state": "relaxed", "lattice_angstrom": [[4.116, 0.000, 0.000], [0.000, 8.549, -2.583], [0.000, 0.317, 8.276]], "species": ["Pr", "Pr", "Pr", "Pr", "Pr", "Pr", "Ni", "Ni", "Te", "Te"], "fractional_positions": [[0.250, 0.590, 0.317], [0.750, 0.410, 0.683], [0.250, 0.062, 0.699], [0.750, 0.260, 0.077], [0.750, 0.938, 0.301], [0.250, 0.740, 0.923], [0.750, 0.580, 0.059], [0.250, 0.420, 0.941], [0.750, 0.767, 0.613], [0.250, 0.233, 0.387]], "formation_energy_uncorrected_ev_per_atom": -0.68, "sg": "P2_1/m, No. 11", "n_ef_per_ev_atom": 0.93, "e_tot_ev_per_cell": -53.34}

No. 11
{"formula": "Pr2NiTe", "functional": "PBE", "state": "relaxed", "lattice_angstrom": [[4.559, 0.000, 0.000], [0.000, 4.161, -0.739], [0.000, -0.052, 11.792]], "species": ["Pr", "Pr", "Pr", "Pr", "Ni", "Ni", "Te", "Te"], "fractional_positions": [[0.750, 0.661, 0.322], [0.250, 0.339, 0.678], [0.750, 0.944, 0.887], [0.250, 0.056, 0.113], [0.250, 0.471, 0.942], [0.750, 0.529, 0.058], [0.250, 0.195, 0.389], [0.750, 0.805, 0.611]], "formation_energy_uncorrected_ev_per_atom": -0.79, "sg": "Cmcm, No. 63", "n_ef_per_ev_atom": 0.85, "e_tot_ev_per_cell": -43.27, "de_polymorph_mev_per_atom": 0}

No. 12
{"formula": "PrNiTe", "functional": "PBE", "state": "relaxed", "lattice_angstrom": [[4.300, 0.000, 0.000], [0.000, 4.308, 0.000], [0.000, -2.154, 3.731]], "species": ["Pr", "Ni", "Te"], "fractional_positions": [[0.667, 0.333, 0.667], [0.166, 0.667, 0.333], [0.167, 0.000, 0.000]], "formation_energy_uncorrected_ev_per_atom": -0.90, "sg": "P3m1, No. 156", "n_ef_per_ev_atom": 0.72, "e_tot_ev_per_cell": -16.41}

No. 13
{"formula": "PrThNi", "functional": "PBE", "state": "relaxed", "lattice_angstrom": [[3.611, 0.000, 0.000], [0.000, 3.611, 0.000], [-1.806, -1.806, 5.932]], "species": ["Pr", "Ni", "Th"], "fractional_positions": [[0.010, 0.010, 0.020], [0.694, 0.694, 0.388], [0.296, 0.296, 0.592]], "formation_enthalpy_0k_ev_per_atom": -0.1454, "sg": "I4mm, No. 107", "n_ef_per_ev_atom": 1.61, "e_tot_ev_per_cell": -18.42, "de_polymorph_mev_per_atom": 0}

No. 14
{"formula": "PrThNi", "functional": "PBE", "state": "relaxed", "lattice_angstrom": [[-0.056, -1.961, -3.249], [-2.698, -0.571, 2.608], [-3.680, 4.706, -2.776]], "species": ["Pr", "Ni", "Th"], "fractional_positions": [[0.000, 0.000, 0.055], [0.667, 0.333, 0.347], [0.333, 0.667, 0.598]], "formation_enthalpy_0k_ev_per_atom": -0.0995, "sg": "P3m1, No. 156", "n_ef_per_ev_atom": 1.04, "e_tot_ev_per_cell": -18.28, "de_polymorph_mev_per_atom": 46}

No. 15
{"formula": "PrTh2Ni", "functional": "PBE", "state": "relaxed", "lattice_angstrom": [[-0.638, -1.441, 3.469], [1.647, -3.276, 1.035], [7.680, 3.168, 4.821]], "species": ["Pr", "Th", "Th", "Ni"], "fractional_positions": [[0.498, 0.498, 0.505], [0.062, 0.062, 0.813], [0.272, 0.272, 0.183], [0.667, 0.667, 0.999]], "formation_enthalpy_0k_ev_per_atom": -0.0629, "sg": "R3m, No. 160", "n_ef_per_ev_atom": 1.69, "e_tot_ev_per_cell": -25.65, "de_polymorph_mev_per_atom": 24}

No. 16
{"formula": "PrTh2Ni", "functional": "PBE", "state": "relaxed", "lattice_angstrom": [[3.688, 0.000, 0.000], [1.844, 3.194, 0.000], [1.844, 1.065, 10.350]], "species": ["Pr", "Ni", "Th", "Th"], "fractional_positions": [[0.000, 0.000, 0.000], [0.500, 0.500, 0.500], [0.110, 0.110, 0.671], [0.890, 0.890, 0.329]], "formation_enthalpy_0k_ev_per_atom": 0.1190, "sg": "R-3m, No. 166", "n_ef_per_ev_atom": 1.82, "e_tot_ev_per_cell": -24.92, "de_polymorph_mev_per_atom": 205}

No. 17
{"formula": "PrTh2Ni", "functional": "PBE", "state": "relaxed", "lattice_angstrom": [[3.580, 0.000, 0.000], [0.000, 3.580, 0.000], [0.000, 0.000, 8.645]], "species": ["Pr", "Ni", "Th", "Th"], "fractional_positions": [[0.500, 0.500, 0.500], [0.500, 0.500, 0.000], [0.000, 0.000, 0.813], [0.000, 0.000, 0.187]], "formation_enthalpy_0k_ev_per_atom": -0.0864, "sg": "P4/mmm, No. 123", "n_ef_per_ev_atom": 1.79, "e_tot_ev_per_cell": -25.75, "de_polymorph_mev_per_atom": 0}

No. 18
{"formula": "PrTh3Ni8", "functional": "PBE", "state": "relaxed", "lattice_angstrom": [[5.188, 0.000, 0.000], [2.594, 4.493, 0.000], [2.594, 1.498, 8.454]], "species": ["Pr", "Th", "Th", "Th", "Ni", "Ni", "Ni", "Ni", "Ni", "Ni", "Ni", "Ni"], "fractional_positions": [[0.873, 0.873, 0.382], [0.377, 0.377, 0.868], [0.997, 0.997, 0.009], [0.504, 0.504, 0.488], [0.941, 0.438, 0.184], [0.433, 0.938, 0.691], [0.438, 0.438, 0.184], [0.938, 0.938, 0.691], [0.187, 0.187, 0.440], [0.687, 0.687, 0.938], [0.438, 0.941, 0.184], [0.938, 0.433, 0.691]], "formation_enthalpy_0k_ev_per_atom": -0.3274, "sg": "R3m, No. 160", "n_ef_per_ev_atom": 0.81, "e_tot_ev_per_cell": -77.22}

No. 19
{"formula": "Pr2ThNi6", "functional": "PBE", "state": "relaxed", "lattice_angstrom": [[3.728, 0.000, 0.000], [1.864, 7.440, 1.550], [1.864, 2.988, 6.988]], "species": ["Pr", "Pr", "Th", "Ni", "Ni", "Ni", "Ni", "Ni", "Ni"], "fractional_positions": [[0.847, 0.653, 0.653], [0.153, 0.347, 0.347], [0.000, 0.000, 0.000], [0.650, 0.018, 0.682], [0.350, 0.982, 0.318], [0.350, 0.318, 0.982], [0.500, 0.669, 0.331], [0.500, 0.331, 0.669], [0.650, 0.682, 0.018]], "formation_enthalpy_0k_ev_per_atom": -0.1395, "sg": "Immm, No. 71", "n_ef_per_ev_atom": 0.93, "e_tot_ev_per_cell": -52.92, "de_polymorph_mev_per_atom": 196}

No. 20
{"formula": "PrThNi10", "functional": "PBE", "state": "relaxed", "lattice_angstrom": [[3.983, 0.000, 0.000], [0.000, 4.970, 0.000], [0.000, 0.000, 8.583]], "species": ["Pr", "Th", "Ni", "Ni", "Ni", "Ni", "Ni", "Ni", "Ni", "Ni", "Ni", "Ni"], "fractional_positions": [[0.000, 0.000, 0.000], [0.000, 0.500, 0.500], [0.000, 0.000, 0.336], [0.000, 0.500, 0.830], [0.000, 0.500, 0.170], [0.000, 0.000, 0.664], [0.500, 0.000, 0.500], [0.500, 0.500, 0.000], [0.500, 0.252, 0.253], [0.500, 0.748, 0.747], [0.500, 0.748, 0.253], [0.500, 0.252, 0.747]], "formation_enthalpy_0k_ev_per_atom": -0.3351, "sg": "Pmmm, No. 47", "n_ef_per_ev_atom": 1.03, "e_tot_ev_per_cell": -74.03}

No. 21
{"formula": "Pr2ThNi2", "functional": "PBE", "state": "relaxed", "lattice_angstrom": [[-4.745, 4.043, 1.471], [-1.296, -6.098, -1.362], [1.602, -0.674, 7.018]], "species": ["Pr", "Pr", "Pr", "Pr", "Th", "Th", "Ni", "Ni", "Ni", "Ni"], "fractional_positions": [[0.552, 0.307, 0.148], [0.245, 0.693, 0.352], [0.448, 0.693, 0.852], [0.755, 0.307, 0.648], [0.923, 0.000, 0.250], [0.077, 0.000, 0.750], [0.688, 0.706, 0.497], [0.982, 0.294, 0.003], [0.312, 0.294, 0.503], [0.018, 0.706, 0.997]], "formation_enthalpy_0k_ev_per_atom": -0.2960, "sg": "C2/c, No. 15", "n_ef_per_ev_atom": 1.05, "e_tot_ev_per_cell": -60.04}

No. 22
{"formula": "Pr2ThNi", "functional": "PBE", "state": "relaxed", "lattice_angstrom": [[-1.800, 3.020, 0.864], [-3.616, -0.038, 0.185], [-1.246, -1.638, 10.715]], "species": ["Pr", "Pr", "Ni", "Th"], "fractional_positions": [[0.109, 0.109, 0.672], [0.891, 0.891, 0.328], [0.500, 0.500, 0.500], [0.000, 0.000, 0.000]], "formation_enthalpy_0k_ev_per_atom": 0.1869, "sg": "R-3m, No. 166", "n_ef_per_ev_atom": 0.98, "e_tot_ev_per_cell": -22.01}

No. 23
{"formula": "PrThNi3", "functional": "PBE", "state": "relaxed", "lattice_angstrom": [[4.090, 0.000, 0.000], [0.000, 3.856, 0.000], [0.000, -1.928, 12.677]], "species": ["Pr", "Pr", "Th", "Th", "Ni", "Ni", "Ni", "Ni", "Ni", "Ni"], "fractional_positions": [[0.250, 0.069, 0.138], [0.750, 0.931, 0.862], [0.250, 0.802, 0.604], [0.750, 0.198, 0.396], [0.250, 0.381, 0.762], [0.750, 0.619, 0.238], [0.250, 0.476, 0.951], [0.750, 0.524, 0.049], [0.750, 0.318, 0.636], [0.250, 0.682, 0.364]], "formation_enthalpy_0k_ev_per_atom": -0.3713, "sg": "Cmcm, No. 63", "n_ef_per_ev_atom": 0.94, "e_tot_ev_per_cell": -62.80}

No. 24
{"formula": "Pr2Th2Ni15", "functional": "PBE", "state": "relaxed", "lattice_angstrom": [[6.604, 0.038, 0.034], [0.895, 6.543, 0.034], [0.895, 0.785, 6.496]], "species": ["Pr", "Pr", "Th", "Th", "Ni", "Ni", "Ni", "Ni", "Ni", "Ni", "Ni", "Ni", "Ni", "Ni", "Ni", "Ni", "Ni", "Ni", "Ni"], "fractional_positions": [[0.363, 0.363, 0.363], [0.637, 0.637, 0.637], [0.115, 0.115, 0.115], [0.885, 0.885, 0.885], [0.500, 0.000, 0.000], [0.000, 0.000, 0.500], [0.000, 0.500, 0.000], [0.000, 0.691, 0.309], [0.691, 0.309, 0.000], [0.309, 0.000, 0.691], [0.309, 0.691, 0.000], [0.691, 0.000, 0.309], [0.000, 0.309, 0.691], [0.167, 0.654, 0.654], [0.654, 0.654, 0.167], [0.654, 0.167, 0.654], [0.833, 0.346, 0.346], [0.346, 0.346, 0.833], [0.346, 0.833, 0.346]], "formation_enthalpy_0k_ev_per_atom": -0.1982, "sg": "R-3m, No. 166", "n_ef_per_ev_atom": 1.33, "e_tot_ev_per_cell": -114.88}

No. 25
{"formula": "Pr2ThNi6", "functional": "PBE", "state": "relaxed", "lattice_angstrom": [[-1.969, -3.332, 0.160], [3.465, -1.765, 5.919], [-6.079, 3.612, 0.399]], "species": ["Pr", "Pr", "Th", "Ni", "Ni", "Ni", "Ni", "Ni", "Ni"], "fractional_positions": [[0.000, 0.333, 0.667], [0.000, 0.667, 0.333], [0.000, 0.000, 0.000], [0.500, 0.330, 0.330], [0.500, 0.670, 0.670], [0.500, 0.000, 0.670], [0.500, 0.670, 0.000], [0.500, 0.330, 0.000], [0.500, 0.000, 0.330]], "formation_enthalpy_0k_ev_per_atom": -0.3356, "sg": "P6/mmm, No. 191", "n_ef_per_ev_atom": 1.49, "e_tot_ev_per_cell": -54.69, "de_polymorph_mev_per_atom": 0}